Entry 1:
DFT (PBE-GGA) results for crystalline CsCeZnO4 at its relaxed geometry.

Properties
Uncorrected formation energy: -1981 meV per atom
E_tot: -5.97 eV per atom

a b c (Å): 5.7242 5.9106 9.1227
angles (deg): 90.00 119.72 90.00
With the nearest neighbours (Å) after each atom.
Fractional positions:
O  0.5001  0.7500  0.5592  1 Zn 2.02, 1 Ce 2.14
O  0.0480  0.0092  0.6625  1 Zn 1.96
O  0.4999  0.2500  0.4408  1 Zn 2.02, 1 Ce 2.14
O  0.9520  0.9908  0.3375  1 Zn 1.96
O  0.6124  0.2500  0.7836  1 Zn 1.90
O  0.0480  0.4908  0.6625  1 Zn 1.96
O  0.3876  0.7500  0.2164  1 Zn 1.90
O  0.9520  0.5092  0.3375  1 Zn 1.96
Cs  0.6072  0.7500  0.9026  3 O 2.88-3.15
Cs  0.3928  0.2500  0.0974  3 O 2.88-3.15
Zn  0.8243  0.2500  0.6760  4 O 1.90-2.02
Zn  0.1757  0.7500  0.3240  4 O 1.90-2.02
Ce  0.2279  0.2500  0.5384  6 O 2.14-2.35
Ce  0.7721  0.7500  0.4616  6 O 2.14-2.35

Entry 2:
DFT (PBE-GGA) results for crystalline HfFe2Se at its relaxed geometry.

Properties
Uncorrected formation energy: 145 meV per atom
E_tot: -7.45 eV per atom

a b c (Å): 7.1990 7.1990 5.7060
angles (deg): 50.89 50.89 90.00
With the nearest neighbours (Å) after each atom.
Fractional positions:
Se  0.5000  0.5000  0.0000  4 Fe 2.42, 2 Hf 2.58
Se  0.2500  0.7500  0.5000  4 Fe 2.42, 2 Hf 2.58
Fe  0.5815  0.1250  0.2500  2 Se 2.42, 2 Fe 2.65
Fe  0.1685  0.6250  0.2500  2 Se 2.42, 2 Fe 2.65
Fe  0.3750  0.4185  0.7500  2 Se 2.42, 2 Fe 2.65
Fe  0.8750  0.8315  0.7500  2 Se 2.42, 2 Fe 2.65
Hf  0.0000  0.0000  0.0000  2 Se 2.58, 4 Fe 2.85
Hf  0.7500  0.2500  0.5000  2 Se 2.58, 4 Fe 2.85

Entry 3:
DFT (PBE-GGA) results for crystalline MgTlH8Ir2 at its relaxed geometry.

Properties
E_tot: -4.04 eV per atom

a b c (Å): 4.9142 4.9142 7.1278
angles (deg): 69.84 69.84 60.00
With the nearest neighbours (Å) after each atom.
Fractional positions:
Ir  0.6927  0.6927  0.9219  4 H 1.62-1.70
Ir  0.3073  0.3073  0.0781  4 H 1.62-1.70
H  0.9246  0.5863  0.1407  1 Ir 1.70
H  0.5863  0.3484  0.1407  1 Ir 1.70
H  0.2247  0.2247  0.3258  1 Ir 1.62
H  0.3484  0.9246  0.1407  1 Ir 1.70
H  0.6516  0.0754  0.8593  1 Ir 1.70
H  0.4137  0.6516  0.8593  1 Ir 1.70
H  0.7753  0.7753  0.6742  1 Ir 1.62
H  0.0754  0.4137  0.8593  1 Ir 1.70
Tl  0.5000  0.5000  0.5000  12 H 2.75-3.06
Mg  0.0000  0.0000  0.0000  6 H 2.09

Entry 4:
DFT (PBE-GGA) results for crystalline CaHgW2 at its relaxed geometry.

Properties
ΔH_f (0 K): 0.73 eV/atom
E_tot: -6.33 eV per atom

a b c (Å): 4.9717 4.9717 5.9802
angles (deg): 85.95 85.95 32.85
With the nearest neighbours (Å) after each atom.
Fractional positions:
Ca  0.4938  0.4938  0.5030  2 Ca 2.81, 3 Hg 2.92-3.08, 3 W 2.99-3.14
Hg  0.7430  0.7430  0.7576  2 Hg 2.81, 3 Ca 2.92-3.08, 5 W 3.02-3.12
W  0.2544  0.2544  0.2068  5 W 2.63-2.93
W  0.0088  0.0088  0.0326  5 W 2.63-2.93

Entry 5:
DFT (PBE-GGA) results for crystalline YAlSbN2 at its relaxed geometry.

Properties
Uncorrected formation energy: 934 meV per atom
E_tot: -5.26 eV per atom

a b c (Å): 4.2855 6.3433 4.2855
angles (deg): 90.00 90.00 90.00
With the nearest neighbours (Å) after each atom.
Fractional positions:
Al  0.5000  0.5000  0.5000  4 Sb 3.03
Y  0.0000  0.0000  0.0000  4 N 2.14
N  0.0000  0.0000  0.5000  2 Y 2.14
N  0.5000  0.0000  0.0000  2 Y 2.14
Sb  0.0000  0.5000  0.0000  4 Al 3.03, 2 Y 3.17

Entry 6:
DFT (PBE-GGA) results for crystalline ZrAg2Au at its relaxed geometry.

Properties
ΔH_f (0 K): -0.09 eV/atom
E_tot: -4.47 eV per atom
Energy above the lowest structure with this stoichiometry: 0.103 eV/atom

a b c (Å): 5.8118 5.8118 5.8118
angles (deg): 149.21 129.45 60.37
With the nearest neighbours (Å) after each atom.
Fractional positions:
Au  0.7500  0.2500  0.5000  4 Ag 2.87, 4 Zr 2.92, 2 Au 3.09
Ag  0.5093  0.5093  0.0000  2 Au 2.87, 6 Ag 2.93-3.09, 2 Zr 3.03
Ag  0.9907  0.9907  0.0000  2 Au 2.87, 6 Ag 2.93-3.09, 2 Zr 3.03
Zr  0.2500  0.7500  0.5000  4 Au 2.92, 4 Ag 3.03, 2 Zr 3.09

Entry 7:
DFT (PBE-GGA) results for crystalline Ba3BrO at its relaxed geometry.

Properties
Uncorrected formation energy: -1256 meV per atom
E_tot: -3.74 eV per atom
Energy above the lowest structure with this stoichiometry: 0.000 eV/atom

a b c (Å): 5.5727 5.5727 5.5727
angles (deg): 90.00 90.00 90.00
With the nearest neighbours (Å) after each atom.
Fractional positions:
Br  0.5000  0.5000  0.5000  12 Ba 3.94
O  0.0000  0.0000  0.0000  6 Ba 2.79
Ba  0.5000  0.0000  0.0000  2 O 2.79
Ba  0.0000  0.5000  0.0000  2 O 2.79
Ba  0.0000  0.0000  0.5000  2 O 2.79

Entry 8:
DFT (PBE-GGA) results for crystalline La2SBr2 at its relaxed geometry.

Properties
Uncorrected formation energy: -1681 meV per atom
E_tot: -5.15 eV per atom

a b c (Å): 7.6982 7.6982 4.8321
angles (deg): 90.00 90.00 90.00
With the nearest neighbours (Å) after each atom.
Fractional positions:
La  0.3329  0.8329  0.0000  2 S 2.87, 2 Br 3.13
La  0.1671  0.3329  0.0000  2 S 2.87, 2 Br 3.13
La  0.6671  0.1671  0.0000  2 S 2.87, 2 Br 3.13
La  0.8329  0.6671  0.0000  2 S 2.87, 2 Br 3.13
Br  0.1505  0.6505  0.5000  6 La 3.13-3.44, 1 Br 3.28
Br  0.3495  0.1505  0.5000  6 La 3.13-3.44, 1 Br 3.28
Br  0.8495  0.3495  0.5000  6 La 3.13-3.44, 1 Br 3.28
Br  0.6505  0.8495  0.5000  6 La 3.13-3.44, 1 Br 3.28
S  0.0000  0.0000  0.0000  4 La 2.87
S  0.5000  0.5000  0.0000  4 La 2.87

Entry 9:
DFT (PBE-GGA) results for crystalline La2AuCl at its relaxed geometry.

Properties
Uncorrected formation energy: -840 meV per atom
E_tot: -4.58 eV per atom
Energy above the lowest structure with this stoichiometry: 0.358 eV/atom

a b c (Å): 6.2875 6.2875 8.6525
angles (deg): 68.69 68.69 90.00
With the nearest neighbours (Å) after each atom.
Fractional positions:
La  0.8750  0.8665  0.7500  2 Cl 2.87, 2 Au 2.93
La  0.1335  0.6250  0.2500  2 Cl 2.87, 2 Au 2.93
La  0.6165  0.1250  0.2500  2 Cl 2.87, 2 Au 2.93
La  0.3750  0.3835  0.7500  2 Cl 2.87, 2 Au 2.93
Cl  0.2500  0.7500  0.5000  4 La 2.87
Cl  0.5000  0.5000  0.0000  4 La 2.87
Au  0.0000  0.0000  0.0000  4 La 2.93
Au  0.7500  0.2500  0.5000  4 La 2.93

Entry 10:
DFT (PBE-GGA) results for crystalline KPdRuI6 at its relaxed geometry.

Properties
Uncorrected formation energy: -341 meV per atom
E_tot: -3.10 eV per atom

a b c (Å): 7.1952 7.1951 7.8451
angles (deg): 90.01 89.99 59.98
With the nearest neighbours (Å) after each atom.
Fractional positions:
I  0.3708  0.6402  0.3056  1 Ru 2.70, 1 Pd 2.81
I  0.3707  0.9891  0.6946  1 Ru 2.70, 1 Pd 2.81
I  0.6402  0.3708  0.6944  1 Ru 2.70, 1 Pd 2.81
I  0.6401  0.9892  0.3059  1 Ru 2.70, 1 Pd 2.80
I  0.9890  0.3708  0.3053  1 Ru 2.70, 1 Pd 2.81
I  0.9892  0.6401  0.6941  1 Ru 2.70, 1 Pd 2.80
Pd  0.3333  0.3333  0.4999  6 I 2.80-2.81
K  0.9999  0.9999  0.0000  6 I 3.56
Ru  0.6666  0.6666  0.5001  6 I 2.70

Entry 11:
DFT (PBE-GGA) results for crystalline PmEr4TmS8 at its relaxed geometry.

Properties
Uncorrected formation energy: -1920 meV per atom
E_tot: -6.24 eV per atom

a b c (Å): 8.0195 8.0195 8.0116
angles (deg): 59.97 59.97 60.00
With the nearest neighbours (Å) after each atom.
Fractional positions:
S  0.2391  0.2391  0.2828  1 Pm 2.67, 3 Er 2.72
S  0.2380  0.7839  0.7402  1 Pm 2.68, 1 Tm 2.71, 2 Er 2.72
S  0.7569  0.7569  0.7293  4 Er 2.59-2.75
S  0.7581  0.2280  0.2557  3 Er 2.60-2.75, 1 Tm 2.74
S  0.7581  0.7581  0.2557  3 Er 2.60-2.75, 1 Tm 2.74
S  0.2280  0.7581  0.2557  3 Er 2.60-2.75, 1 Tm 2.74
S  0.7839  0.2380  0.7402  1 Pm 2.68, 1 Tm 2.71, 2 Er 2.72
S  0.2380  0.2380  0.7402  1 Pm 2.68, 1 Tm 2.71, 2 Er 2.72
Er  0.5017  0.9994  0.4995  6 S 2.72-2.75
Er  0.6248  0.6248  0.1257  4 S 2.59-2.60
Er  0.9994  0.5017  0.4995  6 S 2.72-2.75
Er  0.9994  0.9994  0.4995  6 S 2.72-2.75
Tm  0.9995  0.9995  0.0016  6 S 2.71-2.74
Pm  0.3752  0.3752  0.8743  4 S 2.67-2.68

Entry 12:
DFT (PBE-GGA) results for crystalline K2SnPb2 at its relaxed geometry.

Properties
ΔH_f (0 K): 0.06 eV/atom
E_tot: -2.66 eV per atom
Energy above the lowest structure with this stoichiometry: 0.235 eV/atom

a b c (Å): 9.6087 9.6087 3.8544
angles (deg): 90.00 90.00 90.00
With the nearest neighbours (Å) after each atom.
Fractional positions:
Pb  0.8856  0.6144  0.0000  1 Pb 3.11, 2 K 3.34
Pb  0.6144  0.1144  0.0000  1 Pb 3.11, 2 K 3.34
Pb  0.3856  0.8856  0.0000  1 Pb 3.11, 2 K 3.34
Pb  0.1144  0.3856  0.0000  1 Pb 3.11, 2 K 3.34
K  0.1847  0.6847  0.5000  6 Pb 3.34-3.53
K  0.8153  0.3153  0.5000  6 Pb 3.34-3.53
K  0.3153  0.1847  0.5000  6 Pb 3.34-3.53
K  0.6847  0.8153  0.5000  6 Pb 3.34-3.53
Sn  0.5000  0.5000  0.0000  2 Sn 3.85, 4 Pb 3.86, 8 K 4.01
Sn  0.0000  0.0000  0.0000  2 Sn 3.85, 4 Pb 3.86, 8 K 4.01

Look up the E_tot of the seventh one.
-3.74 eV per atom